Entry 1:
DFT (PBE) results for crystalline KGePCO7 at its relaxed geometry.

Summary:
**Theoretical density**: 2.62 g/cm³
**Uncorrected formation energy**: -1.812 eV per atom
**Crystal system**: monoclinic

The structure in POSCAR format:
```
KGePCO7
1.0
5.091 0.000 0.000
0.000 6.241 0.000
-0.557 0.000 10.653
K Ge P C O
2 2 2 2 14
Direct
0.238 0.000 0.316 K
0.762 0.500 0.684 K
0.217 0.111 0.865 Ge
0.783 0.611 0.135 Ge
0.270 0.615 0.946 P
0.730 0.115 0.054 P
0.298 0.134 0.649 C
0.702 0.634 0.351 C
0.059 0.120 0.696 O
0.112 0.617 0.064 O
0.205 0.422 0.859 O
0.207 0.808 0.858 O
0.343 0.160 0.537 O
0.430 0.113 0.015 O
0.484 0.124 0.743 O
0.516 0.624 0.257 O
0.570 0.613 0.985 O
0.657 0.660 0.463 O
0.793 0.308 0.142 O
0.795 0.922 0.141 O
0.888 0.117 0.936 O
0.941 0.620 0.304 O
```


Entry 2:
DFT (PBE) results for crystalline Pr2Al2Br at its relaxed geometry.

Summary:
**Theoretical density**: 5.11 g/cm³
**Uncorrected formation energy**: -0.835 eV per atom
**Crystal system**: trigonal

The structure in POSCAR format:
```
Pr2Al2Br
1.0
2.166 1.251 8.316
-2.166 1.251 8.316
0.000 -2.501 8.316
Pr Al Br
2 2 1
Direct
0.083 0.083 0.083 Pr
0.917 0.917 0.917 Pr
0.328 0.328 0.328 Al
0.672 0.672 0.672 Al
0.500 0.500 0.500 Br
```


Entry 3:
DFT (PBE) results for crystalline CaMg3In7 at its relaxed geometry.

Summary:
**Theoretical density**: 5.38 g/cm³
**Crystal system**: orthorhombic
**Formation energy from the elements**: -106 meV per atom

The structure in POSCAR format:
```
CaMg3In7
1.0
1.739 -12.235 0.000
1.739 12.235 0.000
0.000 0.000 13.300
Ca Mg In
2 6 14
Direct
0.093 0.907 0.750 Ca
0.907 0.093 0.250 Ca
0.082 0.918 0.018 Mg
0.082 0.918 0.482 Mg
0.237 0.763 0.750 Mg
0.763 0.237 0.250 Mg
0.918 0.082 0.518 Mg
0.918 0.082 0.982 Mg
0.202 0.798 0.092 In
0.202 0.798 0.408 In
0.330 0.670 0.097 In
0.330 0.670 0.403 In
0.379 0.621 0.750 In
0.499 0.501 0.629 In
0.499 0.501 0.871 In
0.501 0.499 0.129 In
0.501 0.499 0.371 In
0.621 0.379 0.250 In
0.670 0.330 0.597 In
0.670 0.330 0.903 In
0.798 0.202 0.592 In
0.798 0.202 0.908 In
```


Entry 4:
DFT (PBE) results for crystalline K2Cr2Ni at its relaxed geometry.

Summary:
**Theoretical density**: 3.69 g/cm³
**Crystal system**: tetragonal
**Formation energy from the elements**: 1533 meV per atom

The structure in POSCAR format:
```
K2Cr2Ni
1.0
-1.924 1.924 7.327
1.924 -1.924 7.327
1.924 1.924 -7.327
K Cr Ni
2 2 1
Direct
0.250 0.750 0.500 K
0.750 0.250 0.500 K
0.059 0.059 0.000 Cr
0.941 0.941 0.000 Cr
0.500 0.500 0.000 Ni
```


Entry 5:
DFT (PBE) results for crystalline Sc12C5S2 at its relaxed geometry.

Summary:
**Theoretical density**: 3.33 g/cm³
**Uncorrected formation energy**: -0.611 eV per atom
**Crystal system**: monoclinic

The structure in POSCAR format:
```
Sc12C5S2
1.0
6.218 -3.273 0.000
6.218 3.273 0.000
-1.926 0.000 8.118
Sc C S
12 5 2
Direct
0.041 0.556 0.346 Sc
0.073 0.073 0.327 Sc
0.134 0.614 0.010 Sc
0.386 0.866 0.990 Sc
0.419 0.419 0.708 Sc
0.444 0.959 0.654 Sc
0.556 0.041 0.346 Sc
0.581 0.581 0.292 Sc
0.614 0.134 0.010 Sc
0.866 0.386 0.990 Sc
0.927 0.927 0.673 Sc
0.959 0.444 0.654 Sc
0.243 0.243 0.492 C
0.243 0.243 0.874 C
0.500 0.500 0.000 C
0.757 0.757 0.126 C
0.757 0.757 0.508 C
0.263 0.737 0.500 S
0.737 0.263 0.500 S
```


Entry 6:
DFT (PBE) results for crystalline LuSnHgPb at its relaxed geometry.

Summary:
**Theoretical density**: 10.74 g/cm³
**Crystal system**: cubic
**Formation energy from the elements**: -174 meV per atom

The structure in POSCAR format:
```
LuSnHgPb
1.0
0.000 3.786 3.786
3.786 0.000 3.786
3.786 3.786 0.000
Lu Sn Hg Pb
1 1 1 1
Direct
0.000 0.000 0.000 Lu
0.750 0.750 0.750 Sn
0.250 0.250 0.250 Hg
0.500 0.500 0.500 Pb
```


Entry 7:
DFT (PBE) results for crystalline NbTlAsO5 at its relaxed geometry.

Summary:
**Theoretical density**: 6.07 g/cm³
**Uncorrected formation energy**: -1.573 eV per atom
**Crystal system**: monoclinic

The structure in POSCAR format:
```
NbTlAsO5
1.0
3.697 -4.847 0.000
3.697 4.847 0.000
-3.443 0.000 6.900
Nb Tl As O
2 2 2 10
Direct
0.000 0.000 0.000 Nb
0.000 0.000 0.500 Nb
0.326 0.674 0.750 Tl
0.674 0.326 0.250 Tl
0.310 0.690 0.250 As
0.690 0.310 0.750 As
0.050 0.950 0.750 O
0.110 0.718 0.390 O
0.222 0.369 0.103 O
0.282 0.890 0.110 O
0.369 0.222 0.603 O
0.631 0.778 0.397 O
0.718 0.110 0.890 O
0.778 0.631 0.897 O
0.890 0.282 0.610 O
0.950 0.050 0.250 O
```


Entry 8:
DFT (PBE) results for crystalline LaRuBr2 at its relaxed geometry.

Summary:
**Theoretical density**: 7.31 g/cm³
**Uncorrected formation energy**: -0.334 eV per atom
**Crystal system**: tetragonal

The structure in POSCAR format:
```
LaRuBr2
1.0
4.685 0.000 0.000
0.000 4.685 0.000
0.000 0.000 4.136
La Ru Br
1 1 2
Direct
0.000 0.000 0.000 La
0.500 0.500 0.000 Ru
0.000 0.500 0.500 Br
0.500 0.000 0.500 Br
```


Entry 9:
DFT (PBE) results for crystalline SrIn4Hg at its relaxed geometry.

Summary:
**Theoretical density**: 6.71 g/cm³
**Crystal system**: orthorhombic
**Formation energy from the elements**: -103 meV per atom

The structure in POSCAR format:
```
SrIn4Hg
1.0
2.809 -8.503 0.000
2.809 8.503 0.000
0.000 0.000 7.743
Sr In Hg
2 8 2
Direct
0.115 0.885 0.750 Sr
0.885 0.115 0.250 Sr
0.083 0.917 0.250 In
0.264 0.736 0.066 In
0.264 0.736 0.434 In
0.500 0.500 0.000 In
0.500 0.500 0.500 In
0.736 0.264 0.566 In
0.736 0.264 0.934 In
0.917 0.083 0.750 In
0.356 0.644 0.750 Hg
0.644 0.356 0.250 Hg
```


Entry 10:
DFT (PBE) results for crystalline Li2GaAu2 at its relaxed geometry.

Summary:
**Theoretical density**: 9.40 g/cm³
**Crystal system**: tetragonal
**Formation energy from the elements**: -437 meV per atom

The structure in POSCAR format:
```
Li2GaAu2
1.0
7.040 0.000 0.000
0.000 7.040 0.000
0.000 0.000 3.403
Li Ga Au
4 2 4
Direct
0.151 0.349 0.000 Li
0.349 0.849 0.000 Li
0.651 0.151 0.000 Li
0.849 0.651 0.000 Li
0.000 0.000 0.500 Ga
0.500 0.500 0.500 Ga
0.149 0.649 0.500 Au
0.351 0.149 0.500 Au
0.649 0.851 0.500 Au
0.851 0.351 0.500 Au
```


Entry 11:
DFT (PBE) results for crystalline Pu2Re3Tc at its relaxed geometry.

Summary:
**Theoretical density**: 17.14 g/cm³
**Crystal system**: monoclinic
**Formation energy from the elements**: 50 meV per atom

The structure in POSCAR format:
```
Pu2Re3Tc
1.0
4.417 -2.826 0.000
4.417 2.826 0.000
-3.721 0.000 4.442
Pu Re Tc
2 3 1
Direct
0.128 0.128 0.377 Pu
0.872 0.872 0.623 Pu
0.000 0.500 0.000 Re
0.500 0.000 0.000 Re
0.500 0.500 0.000 Re
0.500 0.500 0.500 Tc
```


Entry 12:
DFT (PBE) results for crystalline GdPaBiPb at its relaxed geometry.

Summary:
**Theoretical density**: 11.66 g/cm³
**Crystal system**: cubic
**Formation energy from the elements**: -208 meV per atom

The structure in POSCAR format:
```
GdPaBiPb
1.0
0.000 3.855 3.855
3.855 0.000 3.855
3.855 3.855 0.000
Gd Pa Bi Pb
1 1 1 1
Direct
0.000 0.000 0.000 Gd
0.500 0.500 0.500 Pa
0.250 0.250 0.250 Bi
0.750 0.750 0.750 Pb
```


Q: What is the theoretical density in the seventh record?
A: 6.07 g/cm³


Q: What is the theoretical density in the fourth record?
A: 3.69 g/cm³


Q: The highest theoretical density belongs to which entry?
A: Pu2Re3Tc


Copy entry 7 word for word.
DFT (PBE) results for crystalline NbTlAsO5 at its relaxed geometry.

Summary:
**Theoretical density**: 6.07 g/cm³
**Uncorrected formation energy**: -1.573 eV per atom
**Crystal system**: monoclinic

The structure in POSCAR format:
```
NbTlAsO5
1.0
3.697 -4.847 0.000
3.697 4.847 0.000
-3.443 0.000 6.900
Nb Tl As O
2 2 2 10
Direct
0.000 0.000 0.000 Nb
0.000 0.000 0.500 Nb
0.326 0.674 0.750 Tl
0.674 0.326 0.250 Tl
0.310 0.690 0.250 As
0.690 0.310 0.750 As
0.050 0.950 0.750 O
0.110 0.718 0.390 O
0.222 0.369 0.103 O
0.282 0.890 0.110 O
0.369 0.222 0.603 O
0.631 0.778 0.397 O
0.718 0.110 0.890 O
0.778 0.631 0.897 O
0.890 0.282 0.610 O
0.950 0.050 0.250 O
```